(1)
Computed, not measured: an optimized crystal structure of Cr2TcMo at the GGA-PBE level of DFT.

Cell lengths 5.995, 5.995, 5.995 Å; angles 90.00, 90.00, 90.00 degrees
Space group Fm-3m (No. 225)
One atom of each set of equivalent atoms:
1 Cr 0.250 0.250 0.250 [8 per cell]
2 Tc 0.000 0.000 0.000 [4 per cell]
3 Mo 0.000 0.000 0.500 [4 per cell]

Properties
D(E_F) = 1.43 states/eV per atom
energy of formation = 6 kJ per mole of atoms
offset from the most stable computed form = 1 kJ/mol of formula units
mass density = 9.2 g cm⁻³
total magnetization = 0.00 μB/cell



(2)
Computed, not measured: an optimized crystal structure of Rh at the GGA-PBE level of DFT.

Cell lengths 4.2348, 4.2348, 4.8431 Å; angles 90.00, 90.00, 120.00 degrees
Space group P6_3/mmc (No. 194)
One atom of each set of equivalent atoms:
1 Rh 0.0000 0.0000 0.2500 [2 per cell]
2 Rh 0.3333 0.6667 0.2500 [2 per cell]

Properties
D(E_F) = 1.95 states/eV per atom
energy of formation = 110 kJ per mole of atoms
offset from the most stable computed form = 110 kJ/mol of formula units
mass density = 9.1 g cm⁻³
total magnetization = 2.84 μB/cell



(3)
Computed, not measured: an optimized crystal structure of CaTcP2 at the GGA-PBE level of DFT.

Cell lengths 5.724, 6.938, 3.273 Å; angles 90.00, 90.00, 90.00 degrees
Space group Cmmm (No. 65)
One atom of each set of equivalent atoms:
1 Ca 0.000 0.000 0.000 [2 per cell]
2 Tc 0.000 0.500 0.000 [2 per cell]
3 P 0.250 0.250 0.500 [4 per cell]

Properties
D(E_F) = 0.83 states/eV per atom
energy of formation = -2 kJ per mole of atoms
offset from the most stable computed form = 220 kJ/mol of formula units
mass density = 5.1 g cm⁻³
total magnetization = 0.00 μB/cell



(4)
Computed, not measured: an optimized crystal structure of ZnCl2F2 at the GGA-PBE level of DFT.

Cell lengths 5.558, 5.558, 6.691 Å; angles 90.00, 90.00, 90.00 degrees
Space group P4/mbm (No. 127)
One atom of each set of equivalent atoms:
1 Zn 0.000 0.000 0.000 [2 per cell]
2 Cl 0.127 0.373 0.500 [4 per cell]
3 F 0.224 0.724 0.000 [4 per cell]

Properties
formation energy from raw total energies = -113.1 kJ/mol of atoms
D(E_F) = 0.00 states/eV per atom
offset from the most stable computed form = 35 kJ/mol of formula units
mass density = 2.8 g cm⁻³
total magnetization = 0.00 μB/cell



(5)
Computed, not measured: an optimized crystal structure of YTl2SeO6 at the GGA-PBE level of DFT.

Cell lengths 6.0677, 6.0677, 5.7851 Å; angles 90.00, 90.00, 120.00 degrees
Space group P-3m1 (No. 164)
One atom of each set of equivalent atoms:
1 Y 0.0000 0.0000 0.0000 [1 per cell]
2 Tl 0.3333 0.6667 0.5824 [2 per cell]
3 Se 0.0000 0.0000 0.5000 [1 per cell]
4 O 0.1403 0.2805 0.3079 [6 per cell]

Properties
formation energy from raw total energies = -113.5 kJ/mol of atoms
D(E_F) = 0.30 states/eV per atom
mass density = 6.1 g cm⁻³
total magnetization = 0.00 μB/cell



(6)
Computed, not measured: an optimized crystal structure of CsTaBe at the GGA-PBE level of DFT.

Cell lengths 3.935, 3.938, 13.271 Å; angles 98.52, 91.76, 90.00 degrees
Space group P1 (No. 1)
One atom of each set of equivalent atoms:
1 Cs 0.000 0.000 0.000 [1 per cell]
2 Cs 0.424 0.481 0.371 [1 per cell]
3 Ta 0.464 0.137 0.646 [1 per cell]
4 Ta 0.964 0.639 0.645 [1 per cell]
5 Be 0.476 0.690 0.763 [1 per cell]
6 Be 0.976 0.205 0.761 [1 per cell]

Properties
D(E_F) = 0.36 states/eV per atom
energy of formation = 58 kJ per mole of atoms
offset from the most stable computed form = 38 kJ/mol of formula units
mass density = 5.3 g cm⁻³
total magnetization = 0.00 μB/cell



(7)
Computed, not measured: an optimized crystal structure of IrAuSe2 at the GGA-PBE level of DFT.

Cell lengths 2.9290, 2.9290, 10.7230 Å; angles 90.00, 90.00, 120.00 degrees
Space group P3m1 (No. 156)
One atom of each set of equivalent atoms:
1 Ir 0.0000 0.0000 0.0000 [1 per cell]
2 Au 0.6667 0.3333 0.5348 [1 per cell]
3 Se 0.0000 0.0000 0.2256 [1 per cell]
4 Se 0.3333 0.6667 0.8221 [1 per cell]

Properties
formation energy from raw total energies = 27.6 kJ/mol of atoms
D(E_F) = 0.65 states/eV per atom
mass density = 11.4 g cm⁻³
total magnetization = 0.00 μB/cell



(8)
Computed, not measured: an optimized crystal structure of Pr4SeS3 at the GGA-PBE level of DFT.

Cell lengths 8.360, 11.745, 4.115 Å; angles 90.00, 90.00, 90.00 degrees
Space group Cmmm (No. 65)
One atom of each set of equivalent atoms:
1 Pr 0.000 0.242 0.000 [4 per cell]
2 Pr 0.234 0.000 0.500 [4 per cell]
3 Se 0.000 0.500 0.000 [2 per cell]
4 S 0.000 0.000 0.000 [2 per cell]
5 S 0.250 0.250 0.500 [4 per cell]

Properties
formation energy from raw total energies = -190.7 kJ/mol of atoms
D(E_F) = 0.46 states/eV per atom
offset from the most stable computed form = 0 kJ/mol of formula units
mass density = 6.1 g cm⁻³
total magnetization = 0.00 μB/cell